# 1
Compound: BaOs2
Source: Alexandria via LeMat-Bulk
Functional: GGA-PBE
Structure: relaxed

ΔE to the lowest computed polymorph ... 1.39 eV/f.u.
E_tot ... -7.249 eV per atom
Mass density ... 12.032 Mg/m³
Total moment ... 0.00 μB/cell
Calculated formation energy ... 0.88 eV per atom

Cell lengths 2.9591, 22.8913, 4.2198 Å; angles 90.00, 90.00, 90.00 degrees
Last column: nearest neighbours and their distance in Å.
Fractional positions:
Ba 0.0000 0.1233 0.2500  2 Ba 2.96
Ba 0.0000 0.8767 0.7500  2 Ba 2.96
Ba 0.5000 0.3767 0.7500  2 Ba 2.96
Ba 0.5000 0.6233 0.2500  2 Ba 2.96
Os 0.0000 0.2419 0.7500  4 Os 2.60
Os 0.0000 0.4778 0.2500  2 Os 2.34
Os 0.0000 0.5222 0.7500  2 Os 2.34
Os 0.0000 0.7581 0.2500  4 Os 2.60
Os 0.5000 0.0222 0.7500  2 Os 2.34
Os 0.5000 0.2581 0.2500  4 Os 2.60
Os 0.5000 0.7419 0.7500  4 Os 2.60
Os 0.5000 0.9778 0.2500  2 Os 2.34

# 2
Compound: LaZnIr3
Source: Alexandria via LeMat-Bulk
Functional: GGA-PBE
Structure: relaxed

ΔE to the lowest computed polymorph ... 7.88 eV/f.u.
E_tot ... -4.602 eV per atom
Mass density ... 10.559 Mg/m³
Total moment ... 0.00 μB/cell
Calculated formation energy ... 1.95 eV per atom

Cell lengths 4.9707, 4.9707, 4.9707 Å; angles 90.00, 90.00, 90.00 degrees
Last column: nearest neighbours and their distance in Å.
Fractional positions:
La 0.0000 0.0000 0.0000  6 Ir 2.49
Zn 0.5000 0.5000 0.5000  12 Ir 3.51
Ir 0.0000 0.0000 0.5000  2 La 2.49
Ir 0.0000 0.5000 0.0000  2 La 2.49
Ir 0.5000 0.0000 0.0000  2 La 2.49

# 3
Compound: Ac4Ge2PSe
Source: Alexandria via LeMat-Bulk
Functional: GGA-PBE
Structure: relaxed

E_tot ... -5.490 eV per atom
Mass density ... 7.287 Mg/m³
Total moment ... 0.00 μB/cell
Formation energy without anion corrections ... -1.17 eV per atom

Cell lengths 7.8114, 4.4876, 7.9907 Å; angles 90.00, 108.87, 90.00 degrees
Last column: nearest neighbours and their distance in Å.
Fractional positions:
Ac 0.2402 0.0000 0.2427  2 P 3.16, 3 Ge 3.20-3.27, 1 Se 3.23
Ac 0.2425 0.5000 0.7491  1 P 3.17, 3 Ge 3.19-3.26, 2 Se 3.24
Ac 0.7575 0.5000 0.2509  1 P 3.17, 3 Ge 3.19-3.26, 2 Se 3.24
Ac 0.7598 0.0000 0.7573  2 P 3.16, 3 Ge 3.20-3.27, 1 Se 3.23
Ge 0.0000 0.0000 0.5000  6 Ac 3.19-3.20
Ge 0.5000 0.5000 0.5000  6 Ac 3.26-3.27
P 0.0000 0.5000 0.0000  6 Ac 3.16-3.17
Se 0.5000 0.0000 0.0000  6 Ac 3.23-3.24

# 4
Compound: Be2HgTe
Source: Alexandria via LeMat-Bulk
Functional: GGA-PBE
Structure: relaxed

ΔE to the lowest computed polymorph ... 0.78 eV/f.u.
E_tot ... -2.192 eV per atom
Mass density ... 7.073 Mg/m³
Total moment ... 0.00 μB/cell
Formation energy without anion corrections ... 0.53 eV per atom

Cell lengths 3.5772, 3.5772, 12.7036 Å; angles 90.00, 90.00, 90.00 degrees
Last column: nearest neighbours and their distance in Å.
Fractional positions:
Be 0.0000 0.0000 0.0000  4 Te 2.53
Be 0.0000 0.5000 0.2500  4 Hg 2.53
Be 0.5000 0.0000 0.7500  4 Hg 2.53
Be 0.5000 0.5000 0.5000  4 Te 2.53
Hg 0.0000 0.5000 0.7500  4 Be 2.53
Hg 0.5000 0.0000 0.2500  4 Be 2.53
Te 0.0000 0.0000 0.5000  4 Be 2.53
Te 0.5000 0.5000 0.0000  4 Be 2.53

# 5
Compound: KTeS
Source: Alexandria via LeMat-Bulk
Functional: GGA-PBE
Structure: relaxed

ΔE to the lowest computed polymorph ... 0.48 eV/f.u.
E_tot ... -3.200 eV per atom
Mass density ... 3.450 Mg/m³
Total moment ... 0.00 μB/cell
Formation energy without anion corrections ... -0.41 eV per atom

Cell lengths 4.0412, 4.0412, 11.7147 Å; angles 90.00, 90.00, 90.00 degrees
Last column: nearest neighbours and their distance in Å.
Fractional positions:
K 0.0000 0.0000 0.0000  1 S 3.01, 1 Te 3.29
K 0.5000 0.5000 0.5000  1 S 3.01, 1 Te 3.29
Te 0.0000 0.0000 0.2808  4 S 2.89
Te 0.5000 0.5000 0.7808  4 S 2.89
S 0.0000 0.0000 0.7432  4 Te 2.89, 1 K 3.01
S 0.5000 0.5000 0.2432  4 Te 2.89, 1 K 3.01

# 6
Compound: Nd2DyBi3
Source: Alexandria via LeMat-Bulk
Functional: GGA-PBE
Structure: relaxed

ΔE to the lowest computed polymorph ... 0.02 eV/f.u.
E_tot ... -5.211 eV per atom
Mass density ... 8.863 Mg/m³
Total moment ... 0.00 μB/cell
Calculated formation energy ... -0.91 eV per atom

Cell lengths 4.5675, 6.4581, 13.6930 Å; angles 90.00, 90.00, 90.00 degrees
Last column: nearest neighbours and their distance in Å.
Fractional positions:
Nd 0.0000 0.0000 0.1681  6 Bi 3.23-3.26
Nd 0.0000 0.0000 0.8319  6 Bi 3.23-3.26
Nd 0.5000 0.5000 0.3319  6 Bi 3.23-3.26
Nd 0.5000 0.5000 0.6681  6 Bi 3.23-3.26
Dy 0.0000 0.0000 0.5000  6 Bi 3.18-3.23
Dy 0.5000 0.5000 0.0000  6 Bi 3.18-3.23
Bi 0.0000 0.5000 0.1618  2 Dy 3.18, 4 Nd 3.23-3.26
Bi 0.0000 0.5000 0.5000  2 Dy 3.23, 4 Nd 3.24
Bi 0.0000 0.5000 0.8382  2 Dy 3.18, 4 Nd 3.23-3.26
Bi 0.5000 0.0000 0.0000  2 Dy 3.23, 4 Nd 3.24
Bi 0.5000 0.0000 0.3382  2 Dy 3.18, 4 Nd 3.23-3.26
Bi 0.5000 0.0000 0.6618  2 Dy 3.18, 4 Nd 3.23-3.26

The highest E_tot belongs to which entry?
Be2HgTe

Copy entry 1 word for word.
Compound: BaOs2
Source: Alexandria via LeMat-Bulk
Functional: GGA-PBE
Structure: relaxed

ΔE to the lowest computed polymorph ... 1.39 eV/f.u.
E_tot ... -7.249 eV per atom
Mass density ... 12.032 Mg/m³
Total moment ... 0.00 μB/cell
Calculated formation energy ... 0.88 eV per atom

Cell lengths 2.9591, 22.8913, 4.2198 Å; angles 90.00, 90.00, 90.00 degrees
Last column: nearest neighbours and their distance in Å.
Fractional positions:
Ba 0.0000 0.1233 0.2500  2 Ba 2.96
Ba 0.0000 0.8767 0.7500  2 Ba 2.96
Ba 0.5000 0.3767 0.7500  2 Ba 2.96
Ba 0.5000 0.6233 0.2500  2 Ba 2.96
Os 0.0000 0.2419 0.7500  4 Os 2.60
Os 0.0000 0.4778 0.2500  2 Os 2.34
Os 0.0000 0.5222 0.7500  2 Os 2.34
Os 0.0000 0.7581 0.2500  4 Os 2.60
Os 0.5000 0.0222 0.7500  2 Os 2.34
Os 0.5000 0.2581 0.2500  4 Os 2.60
Os 0.5000 0.7419 0.7500  4 Os 2.60
Os 0.5000 0.9778 0.2500  2 Os 2.34

Look up the total moment of the sixth one.
0.00 μB/cell